# 1
VASP calculation (PBE-GGA) on a geometry-optimized Rb2VCdMo structure.

E_tot, eV per atom: -3.27
Size of the total moment, μB per cell: 0.2

Cell and atoms, written as CIF:
```
data_Rb2VCdMo
_cell_length_a 6.922
_cell_length_b 6.922
_cell_length_c 4.347
_cell_angle_alpha 90.00
_cell_angle_beta 90.00
_cell_angle_gamma 90.00
_symmetry_space_group_name_H-M 'P 1'
_symmetry_Int_Tables_number 1
loop_
_symmetry_equiv_pos_as_xyz
'x,y,z'
loop_
_atom_site_label
_atom_site_type_symbol
_atom_site_fract_x
_atom_site_fract_y
_atom_site_fract_z
Rb1 Rb 0.000 0.500 0.000
Rb2 Rb 0.500 0.000 0.000
V1 V 0.000 0.000 0.000
Cd1 Cd 0.500 0.500 0.500
Mo1 Mo 0.000 0.000 0.500
```

# 2
VASP calculation (PBE-GGA) on a geometry-optimized NaSr2IrBr structure.

E_tot, eV per atom: -3.02
Size of the total moment, μB per cell: 0.0

Cell and atoms, written as CIF:
```
data_NaSr2IrBr
_cell_length_a 5.892
_cell_length_b 5.892
_cell_length_c 4.891
_cell_angle_alpha 90.00
_cell_angle_beta 90.00
_cell_angle_gamma 90.00
_symmetry_space_group_name_H-M 'P 1'
_symmetry_Int_Tables_number 1
loop_
_symmetry_equiv_pos_as_xyz
'x,y,z'
loop_
_atom_site_label
_atom_site_type_symbol
_atom_site_fract_x
_atom_site_fract_y
_atom_site_fract_z
Na1 Na 0.000 0.000 0.000
Sr1 Sr 0.000 0.500 0.500
Sr2 Sr 0.500 0.000 0.500
Ir1 Ir 0.500 0.500 0.000
Br1 Br 0.500 0.500 0.500
```

Q: Look up the E_tot of the second one.
A: -3.02 eV per atom

Q: What is the E_tot in the first record?
A: -3.27 eV per atom